No. 1
Material: NaNiP3
Method: DFT, PBE-GGA
State: optimized geometry

Structure (CIF):
```
data_NaNiP3
_space_group_name_H-M_alt 'P m -3 m'
_space_group_IT_number 221
_space_group_name_Hall '-P 4 2 3'
_cell_length_a 4.5188
_cell_length_b 4.5188
_cell_length_c 4.5188
_cell_angle_alpha 90.00
_cell_angle_beta 90.00
_cell_angle_gamma 90.00
loop_
_atom_site_label
_atom_site_type_symbol
_atom_site_fract_x
_atom_site_fract_y
_atom_site_fract_z
Na1 Na 0.0000 0.0000 0.0000
Ni1 Ni 0.5000 0.5000 0.5000
P1 P 0.0000 0.5000 0.5000
```

No. 2
Material: NaNiP6
Method: DFT, PBE-GGA
State: optimized geometry

Structure (CIF):
```
data_NaNiP6
_space_group_name_H-M_alt 'C 1 2/m 1'
_space_group_IT_number 12
_space_group_name_Hall '-C 2y'
_cell_length_a 7.1016
_cell_length_b 8.4701
_cell_length_c 5.6539
_cell_angle_alpha 90.00
_cell_angle_beta 100.34
_cell_angle_gamma 90.00
loop_
_atom_site_label
_atom_site_type_symbol
_atom_site_fract_x
_atom_site_fract_y
_atom_site_fract_z
Na1 Na 0.0000 0.0000 0.0000
Ni1 Ni 0.0000 0.5000 0.5000
P1 P 0.1067 0.2668 0.3683
P2 P 0.1310 0.5000 0.1626
```

No. 3
Material: Na2NiP
Method: DFT, PBE-GGA
State: optimized geometry

Structure (CIF):
```
data_Na2NiP
_space_group_name_H-M_alt 'C 1 m 1'
_space_group_IT_number 8
_space_group_name_Hall 'C -2y'
_cell_length_a 6.6175
_cell_length_b 3.8115
_cell_length_c 7.7715
_cell_angle_alpha 90.00
_cell_angle_beta 106.47
_cell_angle_gamma 90.00
loop_
_atom_site_label
_atom_site_type_symbol
_atom_site_fract_x
_atom_site_fract_y
_atom_site_fract_z
Na1 Na 0.0000 0.0000 0.0000
Na2 Na 0.1779 0.0000 0.5343
Ni1 Ni 0.2554 0.5000 0.2672
P1 P 0.4222 0.0000 0.2670
```

No. 4
Material: NaNi3P3
Method: DFT, PBE-GGA
State: optimized geometry

Structure (CIF):
```
data_NaNi3P3
_space_group_name_H-M_alt 'P m -3 n'
_space_group_IT_number 223
_space_group_name_Hall '-P 4n 2 3'
_cell_length_a 6.1946
_cell_length_b 6.1946
_cell_length_c 6.1946
_cell_angle_alpha 90.00
_cell_angle_beta 90.00
_cell_angle_gamma 90.00
loop_
_atom_site_label
_atom_site_type_symbol
_atom_site_fract_x
_atom_site_fract_y
_atom_site_fract_z
Na1 Na 0.0000 0.0000 0.0000
Ni1 Ni 0.0000 0.2500 0.5000
P1 P 0.0000 0.5000 0.2500
```

Calculated values (eV per atom) of energy for the records, taken in order: -4.30; -5.06; -3.74; -5.26.
Calculated values (states/eV/cell) of DOS at the Fermi energy for the records, taken in order: 8.34; 3.30; 8.40; 9.86.